Run i
! Nd3SmTc, optimized geometry, DFT GGA-PBE; values from VASP
! - space-group type = Pm-3m, No. 221
&SYSTEM
  ibrav = 0, nat = 5, ntyp = 3
/
ATOMIC_SPECIES
Nd 144.24 Nd.upf
Sm 150.36 Sm.upf
Tc 98.00 Tc.upf
ATOMIC_POSITIONS crystal
Nd 0.0000 0.0000 0.5000
Nd 0.0000 0.5000 0.0000
Nd 0.5000 0.0000 0.0000
Sm 0.5000 0.5000 0.5000
Tc 0.0000 0.0000 0.0000
CELL_PARAMETERS angstrom
5.5287 0.0000 0.0000
0.0000 5.5287 0.0000
0.0000 0.0000 5.5287

=====

Run ii
! Nd3SmTc, optimized geometry, DFT GGA-PBE; values from VASP
! - space-group type = Cm, No. 8
&SYSTEM
  ibrav = 0, nat = 10, ntyp = 3
/
ATOMIC_SPECIES
Nd 144.24 Nd.upf
Sm 150.36 Sm.upf
Tc 98.00 Tc.upf
ATOMIC_POSITIONS crystal
Nd 0.0000 0.0000 0.0000
Nd 0.0198 0.0198 0.3737
Nd 0.2235 0.2235 0.8595
Nd 0.3318 0.3318 0.1374
Nd 0.6638 0.6638 0.2417
Nd 0.6885 0.6885 0.6124
Sm 0.3533 0.3533 0.4779
Sm 0.4680 0.4680 0.7523
Tc 0.0240 0.0240 0.6122
Tc 0.6613 0.6613 0.9963
CELL_PARAMETERS angstrom
6.2150 -2.0040 0.0000
6.2150 2.0040 0.0000
-5.0528 0.0000 12.3169

=====

run ii is preferred energetically. Next in line: 175 meV/atom higher.

=====

Run i
! NdSm2Te, optimized geometry, DFT GGA-PBE; values from VASP
! - space-group type = P4/mmm, No. 123
&SYSTEM
  ibrav = 0, nat = 4, ntyp = 3
/
ATOMIC_SPECIES
Nd 144.24 Nd.upf
Sm 150.36 Sm.upf
Te 127.60 Te.upf
ATOMIC_POSITIONS crystal
Nd 0.0000 0.0000 0.0000
Sm 0.5000 0.5000 0.2815
Sm 0.5000 0.5000 0.7185
Te 0.0000 0.0000 0.5000
CELL_PARAMETERS angstrom
3.9480 0.0000 0.0000
0.0000 3.9480 0.0000
0.0000 0.0000 8.0259

=====

Run ii
! NdSm2Te, optimized geometry, DFT GGA-PBE; values from VASP
! - space-group type = Cmcm, No. 63
&SYSTEM
  ibrav = 0, nat = 8, ntyp = 3
/
ATOMIC_SPECIES
Nd 144.24 Nd.upf
Sm 150.36 Sm.upf
Te 127.60 Te.upf
ATOMIC_POSITIONS crystal
Nd 0.0577 0.9423 0.7500
Nd 0.9423 0.0577 0.2500
Sm 0.3640 0.6360 0.5358
Sm 0.3640 0.6360 0.9642
Sm 0.6360 0.3640 0.0358
Sm 0.6360 0.3640 0.4642
Te 0.2314 0.7686 0.2500
Te 0.7686 0.2314 0.7500
CELL_PARAMETERS angstrom
2.0280 -6.1545 0.0000
2.0280 6.1545 0.0000
0.0000 0.0000 10.1551

=====

Run iii
! NdSm2Te, optimized geometry, DFT GGA-PBE; values from VASP
! - space-group type = R-3m, No. 166
&SYSTEM
  ibrav = 0, nat = 4, ntyp = 3
/
ATOMIC_SPECIES
Nd 144.24 Nd.upf
Sm 150.36 Sm.upf
Te 127.60 Te.upf
ATOMIC_POSITIONS crystal
Nd 0.0000 0.0000 0.0000
Sm 0.1031 0.1031 0.1031
Sm 0.8969 0.8969 0.8969
Te 0.5000 0.5000 0.5000
CELL_PARAMETERS angstrom
1.9623 1.1330 10.8557
-1.9623 1.1330 10.8557
0.0000 -2.2659 10.8557

=====

Run iv
! NdSm2Te, optimized geometry, DFT GGA-PBE; values from VASP
! - space-group type = R3m, No. 160
&SYSTEM
  ibrav = 0, nat = 4, ntyp = 3
/
ATOMIC_SPECIES
Nd 144.24 Nd.upf
Sm 150.36 Sm.upf
Te 127.60 Te.upf
ATOMIC_POSITIONS crystal
Nd 0.0000 0.0000 0.0000
Sm 0.2369 0.2369 0.2369
Sm 0.4289 0.4289 0.4289
Te 0.8329 0.8329 0.8329
CELL_PARAMETERS angstrom
1.9952 1.1519 9.9466
-1.9952 1.1519 9.9466
0.0000 -2.3038 9.9466

=====

run ii is preferred energetically. Next in line: 101 meV/atom higher.

=====

Run i
! Nd3SmTe4, optimized geometry, DFT GGA-PBE; values from VASP
! - space-group type = Cmmm, No. 65
&SYSTEM
  ibrav = 0, nat = 8, ntyp = 3
/
ATOMIC_SPECIES
Nd 144.24 Nd.upf
Sm 150.36 Sm.upf
Te 127.60 Te.upf
ATOMIC_POSITIONS crystal
Nd 0.0000 0.0000 0.0000
Nd 0.0000 0.5000 0.5000
Nd 0.5000 0.0000 0.5000
Sm 0.5000 0.5000 0.0000
Te 0.2515 0.7485 0.0000
Te 0.2529 0.2529 0.5000
Te 0.7471 0.7471 0.5000
Te 0.7485 0.2515 0.0000
CELL_PARAMETERS angstrom
4.5297 -6.3439 0.0000
4.5297 6.3439 0.0000
0.0000 0.0000 4.4402

=====

Run ii
! Nd3SmTe4, optimized geometry, DFT GGA-PBE; values from VASP
! - space-group type = P6_3/mmc, No. 194
&SYSTEM
  ibrav = 0, nat = 16, ntyp = 3
/
ATOMIC_SPECIES
Nd 144.24 Nd.upf
Sm 150.36 Sm.upf
Te 127.60 Te.upf
ATOMIC_POSITIONS crystal
Nd 0.0000 0.0000 0.0000
Nd 0.0000 0.0000 0.5000
Nd 0.3333 0.6667 0.1245
Nd 0.3333 0.6667 0.3755
Nd 0.6667 0.3333 0.6245
Nd 0.6667 0.3333 0.8755
Sm 0.3333 0.6667 0.7500
Sm 0.6667 0.3333 0.2500
Te 0.0000 0.0000 0.1876
Te 0.0000 0.0000 0.3124
Te 0.0000 0.0000 0.6876
Te 0.0000 0.0000 0.8124
Te 0.3333 0.6667 0.5626
Te 0.3333 0.6667 0.9374
Te 0.6667 0.3333 0.0626
Te 0.6667 0.3333 0.4374
CELL_PARAMETERS angstrom
4.3967 0.0000 0.0000
-2.1983 3.8076 0.0000
0.0000 0.0000 30.5179

=====

run i is preferred energetically. Next in line: 13 meV/atom higher.

=====

Run i
! NdSmTe3, optimized geometry, DFT GGA-PBE; values from VASP
! - space-group type = Pnma, No. 62
&SYSTEM
  ibrav = 0, nat = 20, ntyp = 3
/
ATOMIC_SPECIES
Nd 144.24 Nd.upf
Sm 150.36 Sm.upf
Te 127.60 Te.upf
ATOMIC_POSITIONS crystal
Nd 0.1975 0.2500 0.0039
Nd 0.3025 0.7500 0.5039
Nd 0.6975 0.2500 0.4961
Nd 0.8025 0.7500 0.9961
Sm 0.0161 0.2500 0.3117
Sm 0.4839 0.7500 0.8117
Sm 0.5161 0.2500 0.1883
Sm 0.9839 0.7500 0.6883
Te 0.0411 0.7500 0.1239
Te 0.1170 0.2500 0.5568
Te 0.2265 0.7500 0.8011
Te 0.2735 0.2500 0.3011
Te 0.3830 0.7500 0.0568
Te 0.4589 0.2500 0.6239
Te 0.5411 0.7500 0.3761
Te 0.6170 0.2500 0.9432
Te 0.7265 0.7500 0.6989
Te 0.7735 0.2500 0.1989
Te 0.8830 0.7500 0.4432
Te 0.9589 0.2500 0.8761
CELL_PARAMETERS angstrom
12.3001 0.0000 0.0000
0.0000 4.4228 0.0000
0.0000 0.0000 11.9262

=====

Run ii
! NdSmTe3, optimized geometry, DFT GGA-PBE; values from VASP
! - space-group type = Pnma, No. 62
&SYSTEM
  ibrav = 0, nat = 20, ntyp = 3
/
ATOMIC_SPECIES
Nd 144.24 Nd.upf
Sm 150.36 Sm.upf
Te 127.60 Te.upf
ATOMIC_POSITIONS crystal
Nd 0.1197 0.2500 0.0527
Nd 0.3803 0.7500 0.5527
Nd 0.6197 0.2500 0.4473
Nd 0.8803 0.7500 0.9473
Sm 0.0000 0.0000 0.5000
Sm 0.0000 0.5000 0.5000
Sm 0.5000 0.0000 0.0000
Sm 0.5000 0.5000 0.0000
Te 0.0541 0.7500 0.3342
Te 0.1759 0.5806 0.8395
Te 0.1759 0.9194 0.8395
Te 0.3241 0.0806 0.3395
Te 0.3241 0.4194 0.3395
Te 0.4459 0.2500 0.8342
Te 0.5541 0.7500 0.1658
Te 0.6759 0.5806 0.6605
Te 0.6759 0.9194 0.6605
Te 0.8241 0.0806 0.1605
Te 0.8241 0.4194 0.1605
Te 0.9459 0.2500 0.6658
CELL_PARAMETERS angstrom
8.3212 0.0000 0.0000
0.0000 11.3728 0.0000
0.0000 0.0000 7.4611

=====

run i is preferred energetically. Next in line: 68 meV/atom higher.